No. 1
CuGe2Pd6: relaxed, PBE.

## Properties
The formation energy from the elements is -362 meV per atom. The calculated total energy comes out at -5.305 eV/atom. As for the density of states at the Fermi level: 3.1 states/eV/f.u.

The structure in CIF format:
```
data_CuGe2Pd6
_cell_length_a 7.9964
_cell_length_b 7.9964
_cell_length_c 4.1769
_cell_angle_alpha 90.00
_cell_angle_beta 90.00
_cell_angle_gamma 90.00
_symmetry_space_group_name_H-M 'P 42/m n m'
_symmetry_Int_Tables_number 136
_symmetry_space_group_name_Hall '-P 4n 2n'
loop_
_atom_site_label
_atom_site_type_symbol
_atom_site_fract_x
_atom_site_fract_y
_atom_site_fract_z
Cu1 Cu 0.0000 0.0000 0.0000
Ge1 Ge 0.1989 0.1989 0.5000
Pd1 Pd 0.0233 0.3218 0.0000
Pd2 Pd 0.1284 0.8716 0.5000
```


No. 2
PmCuGePd2: relaxed, PBE.

## Properties
The formation energy from the elements is -595 meV per atom. The calculated total energy comes out at -5.364 eV/atom. As for the density of states at the Fermi level: 3.5 states/eV/f.u.

The structure in CIF format:
```
data_PmCuGePd2
_cell_length_a 3.9692
_cell_length_b 4.0568
_cell_length_c 11.5054
_cell_angle_alpha 90.00
_cell_angle_beta 90.00
_cell_angle_gamma 90.00
_symmetry_space_group_name_H-M 'I m m 2'
_symmetry_Int_Tables_number 44
loop_
_symmetry_equiv_pos_as_xyz
'x,y,z'
'-x,-y,z'
'-x,y,z'
'x,-y,z'
'x+1/2,y+1/2,z+1/2'
'-x+1/2,-y+1/2,z+1/2'
'-x+1/2,y+1/2,z+1/2'
'x+1/2,-y+1/2,z+1/2'
loop_
_atom_site_label
_atom_site_type_symbol
_atom_site_fract_x
_atom_site_fract_y
_atom_site_fract_z
Pm1 Pm 0.0000 0.0000 0.0000
Cu1 Cu 0.0000 0.5000 0.7470
Ge1 Ge 0.0000 0.0000 0.6205
Pd1 Pd 0.0000 0.0000 0.4053
Pd2 Pd 0.0000 0.5000 0.2472
```